VASP calculation (SCAN) on a crystal of La2MgCd relaxed with PBEsol.

Unit cell a=3.4874 b=4.6708 c=7.0176 alpha=90.00 beta=90.00 gamma=90.00
Positions (direct):
La 0.0000 0.0000 0.2654
Mg 0.5000 0.5000 0.0000
La 0.0000 0.0000 0.7346
Cd 0.5000 0.5000 0.5000

Summary:
The calculation puts the magnetization at 0.0000 μB per atom. The value obtained for the calculated density is 6.022 g/cm3. As for the calculated total energy: -30.66 eV/atom.